(1)
VASP calculation (SCAN) on a crystal of BaSrRh2 relaxed with PBEsol.

Structure (POSCAR):
```
BaSrRh2
1.0
4.530 0.000 0.000
0.000 2.366 5.263
0.000 -2.366 5.263
Ba Sr Rh
1 1 2
direct
0.000 0.000 0.000
0.500 0.709 0.709
0.000 0.310 0.310
0.500 0.387 0.387
```

Results
Fermi-level density of states	2.24	states/eV per cell
DFT formation energy	-0.23	eV/atom
uncorrected energy	-32.574	eV/atom

(2)
VASP calculation (SCAN) on a crystal of CoNiH24S2O20 relaxed with PBEsol.

Structure (POSCAR):
```
CoNiH24S2O20
1.0
4.903 -3.526 0.000
4.903 3.526 0.000
-4.423 0.000 23.822
Co Ni H S O
2 2 48 4 40
direct
0.000 0.000 0.000
0.000 0.000 0.500
0.058 0.942 0.750
0.942 0.058 0.250
0.011 0.663 0.658
0.034 0.645 0.422
0.064 0.336 0.949
0.064 0.687 0.908
0.070 0.505 0.760
0.081 0.250 0.689
0.104 0.216 0.844
0.187 0.673 0.300
0.216 0.104 0.344
0.246 0.307 0.006
0.250 0.081 0.189
0.261 0.698 0.567
0.288 0.559 0.801
0.299 0.634 0.446
0.302 0.739 0.933
0.307 0.246 0.506
0.313 0.936 0.592
0.327 0.813 0.200
0.336 0.064 0.449
0.337 0.989 0.842
0.355 0.966 0.078
0.366 0.701 0.054
0.441 0.712 0.699
0.495 0.930 0.740
0.505 0.070 0.260
0.559 0.288 0.301
0.634 0.299 0.946
0.645 0.034 0.922
0.663 0.011 0.158
0.664 0.936 0.551
0.673 0.187 0.800
0.687 0.064 0.408
0.693 0.754 0.494
0.698 0.261 0.067
0.701 0.366 0.554
0.712 0.441 0.199
0.739 0.302 0.433
0.750 0.919 0.811
0.754 0.693 0.994
0.784 0.896 0.656
0.813 0.327 0.700
0.896 0.784 0.156
0.919 0.750 0.311
0.930 0.495 0.240
0.936 0.313 0.092
0.936 0.664 0.051
0.966 0.355 0.578
0.989 0.337 0.342
0.318 0.425 0.123
0.425 0.318 0.623
0.575 0.682 0.377
0.682 0.575 0.877
0.022 0.733 0.281
0.059 0.543 0.116
0.094 0.207 0.319
0.121 0.252 0.983
0.126 0.633 0.783
0.129 0.813 0.927
0.139 0.665 0.457
0.179 0.368 0.635
0.187 0.871 0.573
0.207 0.094 0.819
0.252 0.121 0.483
0.267 0.978 0.219
0.335 0.861 0.043
0.367 0.874 0.717
0.368 0.179 0.135
0.410 0.420 0.068
0.420 0.410 0.568
0.433 0.554 0.169
0.446 0.567 0.331
0.457 0.941 0.384
0.543 0.059 0.616
0.554 0.433 0.669
0.567 0.446 0.831
0.580 0.590 0.432
0.590 0.580 0.932
0.632 0.821 0.865
0.633 0.126 0.283
0.665 0.139 0.957
0.733 0.022 0.781
0.748 0.879 0.517
0.793 0.906 0.181
0.813 0.129 0.427
0.821 0.632 0.365
0.861 0.335 0.543
0.871 0.187 0.073
0.874 0.367 0.217
0.879 0.748 0.017
0.906 0.793 0.681
0.941 0.457 0.884
0.978 0.267 0.719
```

Results
Fermi-level density of states	0.00	states/eV per cell
uncorrected energy	-6.609	eV/atom

(3)
VASP calculation (SCAN) on a crystal of Dy3TaO7 relaxed with PBEsol.

Structure (POSCAR):
```
Dy3TaO7
1.0
3.735 -5.215 0.000
3.735 5.215 0.000
0.000 0.000 7.387
Dy Ta O
6 2 14
direct
0.034 0.034 0.000
0.037 0.500 0.260
0.500 0.037 0.740
0.500 0.963 0.240
0.963 0.500 0.760
0.966 0.966 0.500
0.499 0.499 0.500
0.501 0.501 0.000
0.129 0.871 0.750
0.139 0.861 0.250
0.170 0.416 0.976
0.191 0.449 0.545
0.416 0.170 0.024
0.430 0.570 0.250
0.449 0.191 0.455
0.551 0.809 0.955
0.570 0.430 0.750
0.584 0.830 0.524
0.809 0.551 0.045
0.830 0.584 0.476
0.861 0.139 0.750
0.871 0.129 0.250
```

Results
energy relative to the lowest polymorph listed for this composition	0	meV per atom
Fermi-level density of states	0.00	states/eV per cell
formation energy (no corrections)	-3.732	eV per atom
uncorrected energy	-26.786	eV/atom

(4)
VASP calculation (SCAN) on a crystal of MnV2Ru relaxed with PBEsol.

Structure (POSCAR):
```
MnV2Ru
1.0
0.000 2.907 2.907
2.907 0.000 2.907
2.907 2.907 0.000
Mn V Ru
1 2 1
direct
0.000 0.000 0.000
0.250 0.250 0.250
0.750 0.750 0.750
0.500 0.500 0.500
```

Results
Fermi-level density of states	3.07	states/eV per cell
DFT formation energy	-0.34	eV/atom
uncorrected energy	-22.354	eV/atom

(5)
VASP calculation (SCAN) on a crystal of HgOs3 relaxed with PBEsol.

Structure (POSCAR):
```
HgOs3
1.0
4.688 0.000 0.000
0.000 4.688 0.000
0.000 0.000 2.805
Hg Os
1 3
direct
0.000 0.000 0.000
0.000 0.500 0.500
0.500 0.000 0.500
0.500 0.500 0.000
```

Results
energy relative to the lowest polymorph listed for this composition	363	meV per atom
Fermi-level density of states	3.33	states/eV per cell
DFT formation energy	1.16	eV/atom
uncorrected energy	-69.787	eV/atom

(6)
VASP calculation (SCAN) on a crystal of In2Sb relaxed with PBEsol.

Structure (POSCAR):
```
In2Sb
1.0
5.293 0.000 0.000
-2.646 4.584 0.000
0.000 0.000 6.447
In Sb
4 2
direct
0.000 0.000 0.000
0.000 0.000 0.500
0.333 0.667 0.250
0.667 0.333 0.750
0.333 0.667 0.750
0.667 0.333 0.250
```

Results
Fermi-level density of states	2.85	states/eV per cell
formation energy (no corrections)	0.048	eV per atom
uncorrected energy	-34.630	eV/atom

(7)
VASP calculation (SCAN) on a crystal of La2ScW relaxed with PBEsol.

Structure (POSCAR):
```
La2ScW
1.0
3.205 0.000 0.000
0.000 4.620 0.000
-1.274 0.000 6.574
La Sc W
2 1 1
direct
0.000 0.000 0.000
0.356 0.500 0.701
0.559 0.500 0.278
0.042 0.000 0.444
```

Results
energy relative to the lowest polymorph listed for this composition	71	meV per atom
Fermi-level density of states	3.87	states/eV per cell
DFT formation energy	0.49	eV/atom
uncorrected energy	-42.046	eV/atom

(8)
VASP calculation (SCAN) on a crystal of SbTe2SN relaxed with PBEsol.

Structure (POSCAR):
```
SbTe2SN
1.0
5.702 0.000 0.000
0.000 5.702 0.000
0.000 0.000 3.841
Sb Te S N
1 2 1 1
direct
0.000 0.000 0.000
0.000 0.500 0.000
0.500 0.000 0.000
0.500 0.500 0.500
0.000 0.000 0.500
```

Results
Fermi-level density of states	4.08	states/eV per cell
formation energy (no corrections)	1.196	eV per atom
uncorrected energy	-24.940	eV/atom

(9)
VASP calculation (SCAN) on a crystal of MgMnSi2O6 relaxed with PBEsol.

Structure (POSCAR):
```
MgMnSi2O6
1.0
5.115 -4.477 0.000
5.115 4.477 0.000
-2.060 0.000 4.979
Mg Mn Si O
2 2 4 12
direct
0.240 0.760 0.750
0.760 0.240 0.250
0.397 0.603 0.250
0.603 0.397 0.750
0.119 0.296 0.694
0.296 0.119 0.194
0.704 0.881 0.806
0.881 0.704 0.306
0.122 0.639 0.354
0.125 0.182 0.376
0.182 0.125 0.876
0.282 0.477 0.828
0.361 0.878 0.146
0.477 0.282 0.328
0.523 0.718 0.672
0.639 0.122 0.854
0.718 0.523 0.172
0.818 0.875 0.124
0.875 0.818 0.624
0.878 0.361 0.646
```

Results
energy relative to the lowest polymorph listed for this composition	34	meV per atom
Fermi-level density of states	0.00	states/eV per cell
formation energy (no corrections)	-2.854	eV per atom
uncorrected energy	-10.919	eV/atom

(10)
VASP calculation (SCAN) on a crystal of Al2TlPtSe relaxed with PBEsol.

Structure (POSCAR):
```
Al2TlPtSe
1.0
4.756 0.000 0.000
0.000 4.756 0.000
0.000 0.000 5.225
Al Tl Pt Se
2 1 1 1
direct
0.000 0.500 0.000
0.500 0.000 0.000
0.000 0.000 0.500
0.000 0.000 0.000
0.500 0.500 0.500
```

Results
Fermi-level density of states	2.55	states/eV per cell
formation energy (no corrections)	-0.303	eV per atom
uncorrected energy	-35.930	eV/atom

(11)
VASP calculation (SCAN) on a crystal of ZrTlIr2 relaxed with PBEsol.

Structure (POSCAR):
```
ZrTlIr2
1.0
0.000 3.260 3.260
3.260 0.000 3.260
3.260 3.260 0.000
Zr Tl Ir
1 1 2
direct
0.000 0.000 0.000
0.500 0.500 0.500
0.250 0.250 0.250
0.750 0.750 0.750
```

Results
Fermi-level density of states	1.00	states/eV per cell
DFT formation energy	-0.28	eV/atom
uncorrected energy	-61.596	eV/atom

(12)
VASP calculation (SCAN) on a crystal of ZrMnTc3 relaxed with PBEsol.

Structure (POSCAR):
```
ZrMnTc3
1.0
4.362 0.000 0.000
0.000 4.362 0.000
0.000 0.000 4.362
Zr Mn Tc
1 1 3
direct
0.000 0.000 0.000
0.500 0.500 0.500
0.000 0.500 0.500
0.500 0.000 0.500
0.500 0.500 0.000
```

Results
Fermi-level density of states	3.47	states/eV per cell
DFT formation energy	0.59	eV/atom
uncorrected energy	-30.234	eV/atom